Below is a relaxed Na2CdCoF8 crystal, with properties calculated at the GGA+U level.

a b c (Å): 4.9894 6.8598 5.0149
angles (deg): 90.00 91.79 90.00
Last column: nearest neighbours and their distance in Å.
Space group P2/m (No. 10)
Unique sites:
1 Na 0.0000 0.2451 0.0000 x2  6 F 2.24-2.38
2 Cd 0.5000 0.5000 0.5000 x1  2 F 2.09
3 Co 0.5000 0.0000 0.5000 x1  6 F 1.79-1.83
4 F 0.2001 0.5000 0.2006 x2  1 Cd 2.09, 2 Na 2.24
5 F 0.2437 0.0000 0.2412 x2  1 Co 1.79
6 F 0.3241 0.1937 0.6730 x4  1 Co 1.83

Results
VASP energy, eV/atom: -4.123